The following is a DFT calculation (PBE) of Ta2MnAg after structural relaxation.

Output
offset from the most stable computed form: 168 meV/atom
formation enthalpy at 0 K: 314.5 meV/atom
Fermi-level density of states: 0.679 states/eV per atom
electronic total energy: -8.617 eV/atom

Unit cell a=2.894 b=4.421 c=5.230 alpha=90.00 beta=99.09 gamma=90.00
Fractional coordinates of all 4 atoms:
Ta 0.000 0.000 0.000
Ta 0.265 0.500 0.695
Mn 0.605 0.000 0.558
Ag 0.606 0.500 0.227